Record 1
The following is a DFT calculation (SCAN) of CaZrBe2 at its PBEsol-relaxed geometry.

Computed properties:
formation energy from the elements: 0.56 eV per atom
SG: Pmm2
V: 72 Å³ per cell
ΔE to the lowest computed polymorph: 1.71 eV/f.u.

abc: 3.033 3.983 5.975
angles: 90.00 90.00 90.00
Positions (direct):
Ca 0.000 0.000 0.000
Zr 0.500 0.500 0.359
Be 0.000 0.000 0.535
Be 0.500 0.500 0.771


Record 2
The following is a DFT calculation (SCAN) of CuPdO3 at its PBEsol-relaxed geometry.

Computed properties:
SG: Pm-3m
formation energy without anion corrections: 0.246 eV per atom
V: 57 Å³ per cell

abc: 3.846 3.846 3.846
angles: 90.00 90.00 90.00
Positions (direct):
Cu 0.000 0.000 0.000
Pd 0.500 0.500 0.500
O 0.000 0.500 0.500
O 0.500 0.000 0.500
O 0.500 0.500 0.000


Record 3
The following is a DFT calculation (SCAN) of LaAlCr2 at its PBEsol-relaxed geometry.

Computed properties:
formation energy from the elements: 0.00 eV per atom
SG: F-43m
V: 313 Å³ per cell

abc: 6.792 6.792 6.792
angles: 90.00 90.00 90.00
Positions (direct):
La 0.000 0.000 0.000
La 0.000 0.500 0.500
La 0.500 0.000 0.500
La 0.500 0.500 0.000
Al 0.250 0.250 0.250
Al 0.250 0.750 0.750
Al 0.750 0.250 0.750
Al 0.750 0.750 0.250
Cr 0.000 0.000 0.500
Cr 0.000 0.500 0.000
Cr 0.250 0.250 0.750
Cr 0.250 0.750 0.250
Cr 0.500 0.000 0.000
Cr 0.500 0.500 0.500
Cr 0.750 0.250 0.250
Cr 0.750 0.750 0.750


Record 4
The following is a DFT calculation (SCAN) of Ba2Li2Zn at its PBEsol-relaxed geometry.

Computed properties:
formation energy from the elements: -0.04 eV per atom
SG: I4/mmm
V: 333 Å³ per cell

abc: 4.042 4.042 20.370
angles: 90.00 90.00 90.00
Positions (direct):
Ba 0.000 0.000 0.094
Ba 0.000 0.000 0.906
Ba 0.500 0.500 0.406
Ba 0.500 0.500 0.594
Li 0.000 0.500 0.250
Li 0.000 0.500 0.750
Li 0.500 0.000 0.250
Li 0.500 0.000 0.750
Zn 0.000 0.000 0.500
Zn 0.500 0.500 0.000


Record 5
The following is a DFT calculation (SCAN) of CsEr3Se5 at its PBEsol-relaxed geometry.

Computed properties:
SG: Pnma
formation energy without anion corrections: -2.072 eV per atom
V: 1070 Å³ per cell

abc: 21.723 4.049 12.170
angles: 90.00 90.00 90.00
Positions (direct):
Cs 0.092 0.250 0.149
Cs 0.408 0.750 0.649
Cs 0.592 0.250 0.351
Cs 0.908 0.750 0.851
Er 0.054 0.750 0.608
Er 0.174 0.250 0.799
Er 0.199 0.250 0.460
Er 0.301 0.750 0.960
Er 0.326 0.750 0.299
Er 0.446 0.250 0.108
Er 0.554 0.750 0.892
Er 0.674 0.250 0.701
Er 0.699 0.250 0.040
Er 0.801 0.750 0.540
Er 0.826 0.750 0.201
Er 0.946 0.250 0.392
Se 0.046 0.250 0.766
Se 0.069 0.250 0.447
Se 0.173 0.750 0.954
Se 0.185 0.750 0.628
Se 0.198 0.750 0.307
Se 0.302 0.250 0.807
Se 0.315 0.250 0.128
Se 0.327 0.250 0.454
Se 0.431 0.750 0.947
Se 0.454 0.750 0.266
Se 0.546 0.250 0.734
Se 0.569 0.250 0.053
Se 0.673 0.750 0.546
Se 0.685 0.750 0.872
Se 0.698 0.750 0.193
Se 0.802 0.250 0.693
Se 0.815 0.250 0.372
Se 0.827 0.250 0.046
Se 0.931 0.750 0.553
Se 0.954 0.750 0.234


Record 6
The following is a DFT calculation (SCAN) of Tl2PbCl at its PBEsol-relaxed geometry.

Computed properties:
SG: Cmmm
formation energy without anion corrections: -0.320 eV per atom
V: 220 Å³ per cell
ΔE to the lowest computed polymorph: 0.38 eV/f.u.

abc: 4.027 5.545 9.859
angles: 90.00 90.00 90.00
Positions (direct):
Tl 0.000 0.000 0.223
Tl 0.000 0.000 0.777
Tl 0.500 0.500 0.223
Tl 0.500 0.500 0.777
Pb 0.000 0.500 0.500
Pb 0.500 0.000 0.500
Cl 0.000 0.500 0.000
Cl 0.500 0.000 0.000


Record 7
The following is a DFT calculation (SCAN) of Ta6Cr3Ni3C2 at its PBEsol-relaxed geometry.

Computed properties:
formation energy from the elements: -0.32 eV per atom
SG: Imm2
V: 361 Å³ per cell

abc: 7.998 7.998 7.998
angles: 120.35 119.87 89.81
Positions (direct):
Ta 0.000 0.000 0.000
Ta 0.246 0.137 0.500
Ta 0.246 0.746 0.110
Ta 0.248 0.748 0.500
Ta 0.385 0.000 0.000
Ta 0.385 0.385 0.386
Ta 0.386 0.386 0.000
Ta 0.636 0.137 0.890
Ta 0.636 0.746 0.500
Ta 0.639 0.139 0.500
Ta 0.999 0.000 0.614
Ta 0.999 0.385 0.000
Cr 0.021 0.369 0.653
Cr 0.322 0.570 0.752
Cr 0.716 0.369 0.347
Cr 0.815 0.069 0.254
Cr 0.815 0.562 0.746
Cr 0.818 0.570 0.248
Ni 0.023 0.366 0.342
Ni 0.023 0.681 0.658
Ni 0.612 0.455 0.842
Ni 0.612 0.770 0.158
Ni 0.615 0.771 0.845
Ni 0.926 0.771 0.155
C 0.316 0.067 0.250
C 0.317 0.067 0.750
C 0.317 0.567 0.250
C 0.817 0.067 0.750


Record 8
The following is a DFT calculation (SCAN) of SbMoIr2 at its PBEsol-relaxed geometry.

Computed properties:
SG: R-3m
formation energy without anion corrections: 0.253 eV per atom
V: 193 Å³ per cell

abc: 2.885 2.885 26.801
angles: 90.00 90.00 120.00
Positions (direct):
Sb 0.000 0.000 0.000
Sb 0.333 0.667 0.667
Sb 0.667 0.333 0.333
Mo 0.000 0.000 0.500
Mo 0.333 0.667 0.167
Mo 0.667 0.333 0.833
Ir 0.000 0.000 0.246
Ir 0.000 0.000 0.754
Ir 0.333 0.667 0.420
Ir 0.333 0.667 0.913
Ir 0.667 0.333 0.087
Ir 0.667 0.333 0.580


Record 9
The following is a DFT calculation (SCAN) of Cr4AsOs at its PBEsol-relaxed geometry.

Computed properties:
formation energy from the elements: 0.34 eV per atom
SG: F-43m
V: 73 Å³ per cell

abc: 4.694 4.694 4.694
angles: 60.00 60.00 60.00
Positions (direct):
Cr 0.123 0.123 0.123
Cr 0.123 0.123 0.632
Cr 0.123 0.632 0.123
Cr 0.632 0.123 0.123
As 0.750 0.750 0.750
Os 0.500 0.500 0.500


Record 10
The following is a DFT calculation (SCAN) of MnSbPt at its PBEsol-relaxed geometry.

Computed properties:
SG: F-43m
formation energy without anion corrections: -0.747 eV per atom
V: 231 Å³ per cell
ΔE to the lowest computed polymorph: 0.00 eV/f.u.

abc: 6.135 6.135 6.135
angles: 90.00 90.00 90.00
Positions (direct):
Mn 0.000 0.000 0.000
Mn 0.000 0.500 0.500
Mn 0.500 0.000 0.500
Mn 0.500 0.500 0.000
Sb 0.000 0.000 0.500
Sb 0.000 0.500 0.000
Sb 0.500 0.000 0.000
Sb 0.500 0.500 0.500
Pt 0.250 0.250 0.250
Pt 0.250 0.750 0.750
Pt 0.750 0.250 0.750
Pt 0.750 0.750 0.250


Record 11
The following is a DFT calculation (SCAN) of CuNi2Ir at its PBEsol-relaxed geometry.

Computed properties:
formation energy from the elements: 0.11 eV per atom
SG: Imm2
V: 93 Å³ per cell

abc: 2.646 4.220 8.362
angles: 90.00 90.00 90.00
Positions (direct):
Cu 0.000 0.000 0.000
Cu 0.500 0.500 0.500
Ni 0.000 0.000 0.517
Ni 0.000 0.500 0.254
Ni 0.500 0.000 0.754
Ni 0.500 0.500 0.017
Ir 0.000 0.500 0.765
Ir 0.500 0.000 0.265


Record 12
The following is a DFT calculation (SCAN) of In2HgMo at its PBEsol-relaxed geometry.

Computed properties:
formation energy from the elements: 0.36 eV per atom
SG: R-3m
V: 241 Å³ per cell

abc: 3.117 3.117 28.607
angles: 90.00 90.00 120.00
Positions (direct):
In 0.000 0.000 0.245
In 0.000 0.000 0.755
In 0.333 0.667 0.422
In 0.333 0.667 0.911
In 0.667 0.333 0.089
In 0.667 0.333 0.578
Hg 0.000 0.000 0.000
Hg 0.333 0.667 0.667
Hg 0.667 0.333 0.333
Mo 0.000 0.000 0.500
Mo 0.333 0.667 0.167
Mo 0.667 0.333 0.833


Copy entry 10 word for word.
The following is a DFT calculation (SCAN) of MnSbPt at its PBEsol-relaxed geometry.

Computed properties:
SG: F-43m
formation energy without anion corrections: -0.747 eV per atom
V: 231 Å³ per cell
ΔE to the lowest computed polymorph: 0.00 eV/f.u.

abc: 6.135 6.135 6.135
angles: 90.00 90.00 90.00
Positions (direct):
Mn 0.000 0.000 0.000
Mn 0.000 0.500 0.500
Mn 0.500 0.000 0.500
Mn 0.500 0.500 0.000
Sb 0.000 0.000 0.500
Sb 0.000 0.500 0.000
Sb 0.500 0.000 0.000
Sb 0.500 0.500 0.500
Pt 0.250 0.250 0.250
Pt 0.250 0.750 0.750
Pt 0.750 0.250 0.750
Pt 0.750 0.750 0.250


> Which of these has the lowest V?

CuPdO3